Below is a relaxed structure of CaPrEr, with properties calculated at the PBE level. Values from VASP.

E_tot = -22.315 eV/cell
total magnetic moment = 0.00 μB/f.u.
space-group type = P4/nmm (129)
ΔE_f = 0.19 eV per formula unit
energy above the lowest structure with this stoichiometry = 31 meV per atom

```
&SYSTEM
  ibrav = 0, nat = 6, ntyp = 3
/
ATOMIC_SPECIES
Ca 40.08 Ca.upf
Pr 140.91 Pr.upf
Er 167.26 Er.upf
CELL_PARAMETERS angstrom
4.0353 0.0000 0.0000
0.0000 4.0353 0.0000
0.0000 0.0000 13.6009
ATOMIC_POSITIONS crystal
Ca 0.2500 0.2500 0.0991
Ca 0.7500 0.7500 0.9009
Pr 0.2500 0.2500 0.7145
Pr 0.7500 0.7500 0.2855
Er 0.2500 0.2500 0.4335
Er 0.7500 0.7500 0.5665
```